Entry from Alexandria: an optimized crystal structure of Tb3Nd3Sc (PBE-GGA).

Output
relative energy among the computed polymorphs: 0 meV/atom
DFT formation energy: 0.037 eV/atom

```
Tb3Nd3Sc
1.0
-1.0491 2.9582 -4.7723
7.3374 -4.4004 -4.3407
-8.7995 -3.7993 -0.4206
Sc Tb Nd
2 6 6
direct
0.7500 0.3333 0.6667
0.2500 0.6667 0.3333
0.2500 0.9500 0.7609
0.7500 0.0500 0.2391
0.2500 0.8109 0.0500
0.2500 0.2391 0.1891
0.7500 0.1891 0.9500
0.7500 0.7609 0.8109
0.2500 0.0967 0.4774
0.2500 0.5226 0.6193
0.7500 0.9033 0.5226
0.7500 0.4774 0.3807
0.7500 0.6193 0.0967
0.2500 0.3807 0.9033
```



Entry from Alexandria: an optimized crystal structure of Mn2CuIr2 (PBE-GGA).

Output
relative energy among the computed polymorphs: 0 meV/atom
DFT formation energy: 0.127 eV/atom

```
Mn2CuIr2
1.0
-3.9140 -5.9346 1.1427
5.9481 -3.5416 1.9804
-0.4142 0.7819 2.6422
Ir Mn Cu
4 4 2
direct
0.6359 0.1359 0.0000
0.1359 0.3641 0.0000
0.8641 0.6359 0.0000
0.3641 0.8641 0.0000
0.8378 0.3378 0.5000
0.6622 0.8378 0.5000
0.1622 0.6622 0.5000
0.3378 0.1622 0.5000
0.5000 0.5000 0.0000
0.0000 0.0000 0.0000
```



Entry from Alexandria: an optimized crystal structure of Zn4NiPd7 (PBE-GGA).

Output
DFT formation energy: -0.119 eV/atom

```
Zn4NiPd7
1.0
4.5312 0.0000 0.0000
2.2656 7.2078 0.1208
2.2656 0.3968 5.9494
Pd Zn Ni
7 4 1
direct
0.0726 0.6710 0.1837
0.9274 0.3290 0.8163
0.7857 0.8726 0.5560
0.5000 0.0000 0.0000
0.3497 0.5794 0.7212
0.2143 0.1274 0.4440
0.6503 0.4206 0.2788
0.2906 0.3393 0.0795
0.4285 0.7813 0.3618
0.5715 0.2187 0.6382
0.7094 0.6607 0.9205
0.0000 0.0000 0.0000
```



Entry from Alexandria: an optimized crystal structure of Tm2Mg3Cd2 (PBE-GGA).

Output
relative energy among the computed polymorphs: 42 meV/atom
DFT formation energy: -0.128 eV/atom

```
Tm2Mg3Cd2
1.0
-0.2328 3.2458 -0.6117
-4.2528 -0.7210 -2.2076
-2.9788 1.7615 10.4812
Mg Tm Cd
3 2 2
direct
0.0000 0.0000 0.0000
0.5000 0.5724 0.1448
0.5000 0.4276 0.8552
0.0000 0.1552 0.3104
0.0000 0.8448 0.6896
0.5000 0.7119 0.4238
0.5000 0.2881 0.5762
```



Entry from Alexandria: an optimized crystal structure of NbH6Rh5 (PBE-GGA).

```
NbH6Rh5
1.0
6.1474 0.6624 1.8471
1.7703 4.8577 1.1592
0.1030 0.7466 3.9934
H Rh Nb
6 5 1
direct
0.1180 0.2671 0.0807
0.5873 0.7354 0.5671
0.4127 0.2646 0.4329
0.7044 0.2573 0.7418
0.2956 0.7427 0.2582
0.8820 0.7329 0.9193
0.3126 0.0066 0.3845
0.5000 0.5000 0.0000
0.6874 0.9934 0.6155
0.8471 0.4707 0.3473
0.1529 0.5293 0.6527
0.0000 0.0000 0.0000
```



Entry from Alexandria: an optimized crystal structure of CaZnPt2 (PBE-GGA).

Output
DFT formation energy: -0.508 eV/atom

```
CaZnPt2
1.0
-0.7309 1.6458 2.3171
-0.4775 -3.4217 2.2798
5.6642 0.2715 1.5939
Zn Pt Ca
1 2 1
direct
0.0000 0.0000 0.4420
0.0000 0.0000 0.0008
0.5000 0.5000 0.2870
0.5000 0.5000 0.7701
```



Entry from Alexandria: an optimized crystal structure of BaErSe2 (PBE-GGA).

Output
relative energy among the computed polymorphs: 0 meV/atom
energy relative to the elements, uncorrected: -1.854 eV per atom

```
BaErSe2
1.0
-4.0440 0.8341 1.0152
-2.6756 -3.1890 0.8669
-0.3693 -0.4121 7.7725
Ba Se Er
1 2 1
direct
0.5000 0.5000 0.5000
0.2637 0.2637 0.2088
0.7363 0.7363 0.7912
0.0000 0.0000 0.0000
```



Entry from Alexandria: an optimized crystal structure of Tm8NiPd2 (PBE-GGA).

Output
relative energy among the computed polymorphs: 0 meV/atom
DFT formation energy: -0.404 eV/atom

```
Tm8NiPd2
1.0
4.9953 0.0000 0.0000
0.0000 6.6094 0.2480
-2.4976 -2.5418 8.1479
Ni Tm Pd
1 8 2
direct
0.5000 0.0000 0.0000
0.4101 0.5568 0.8201
0.6625 0.9740 0.3249
0.0313 0.7866 0.0625
0.9687 0.2134 0.9375
0.5899 0.4432 0.1799
0.2044 0.3199 0.4088
0.7956 0.6801 0.5912
0.3375 0.0260 0.6751
0.1887 0.7269 0.3773
0.8113 0.2731 0.6227
```



Entry from Alexandria: an optimized crystal structure of Ho7MgIn4 (PBE-GGA).

Output
DFT formation energy: -0.114 eV/atom

```
Ho7MgIn4
1.0
-3.1509 -4.5873 -1.3632
3.2648 -7.1513 4.4772
-4.6415 -2.1490 5.9181
Ho In Mg
7 4 1
direct
0.1986 0.1245 0.4784
0.8014 0.8755 0.5216
0.0753 0.5849 0.2645
0.7568 0.2778 0.2087
0.9247 0.4151 0.7355
0.5000 0.0000 0.0000
0.2432 0.7222 0.7913
0.3209 0.3445 0.0138
0.6791 0.6555 0.9862
0.5430 0.3065 0.6075
0.4570 0.6935 0.3925
0.0000 0.0000 0.0000
```



Entry from Alexandria: an optimized crystal structure of VNi12Rh6 (PBE-GGA).

Output
relative energy among the computed polymorphs: 0 meV/atom
DFT formation energy: 0.052 eV/atom

```
VNi12Rh6
1.0
-6.4476 1.4589 1.6172
0.3135 0.2884 6.5623
6.0643 4.3007 1.7919
Rh Ni V
6 12 1
direct
0.6732 0.1084 0.3058
0.6318 0.4536 0.7286
0.1698 0.3685 0.4843
0.3268 0.8916 0.6942
0.8302 0.6315 0.5157
0.3682 0.5464 0.2714
0.3912 0.9277 0.0601
0.6088 0.0723 0.9399
0.6521 0.5390 0.1572
0.9506 0.2120 0.2013
0.5943 0.1011 0.6039
0.0587 0.7870 0.3652
0.0494 0.7880 0.7987
0.4057 0.8989 0.3961
0.8532 0.6681 0.9905
0.3479 0.4610 0.8428
0.1468 0.3319 0.0095
0.9413 0.2130 0.6348
0.0000 0.0000 0.0000
```



Number 1: final energy -68.53 eV for the cell shown, N(E_F) 13.730 states/eV/f.u.. Number 2: final energy -79.04 eV for the cell shown, N(E_F) 5.769 states/eV/f.u.. Number 3: final energy -48.65 eV for the cell shown, N(E_F) 7.545 states/eV/f.u.. Number 4: final energy -16.45 eV for the cell shown, N(E_F) 4.848 states/eV/f.u.. Number 5: final energy -68.00 eV for the cell shown, N(E_F) 6.503 states/eV/f.u.. Number 6: final energy -17.39 eV for the cell shown, N(E_F) 0.866 states/eV/f.u.. Number 7: final energy -20.87 eV for the cell shown, N(E_F) 1.920 states/eV/f.u.. Number 8: final energy -56.38 eV for the cell shown, N(E_F) 13.433 states/eV/f.u.. Number 9: final energy -45.96 eV for the cell shown, N(E_F) 13.730 states/eV/f.u.. Number 10: final energy -121.61 eV for the cell shown, N(E_F) 27.096 states/eV/f.u..